DFT (PBE) results for LiHOs2F after structural relaxation.

Output
Total magnetization = 0.091 μB/atom
Total energy = -22.220 eV/cell

a = 4.6715 Å, b = 4.6715 Å, c = 2.5573 Å
α = 90.00°, β = 90.00°, γ = 90.00°
Space group P4/mmm (No. 123)
Unique sites:
Li 0.0000 0.0000 0.0000 (multiplicity 1)
H 0.0000 0.0000 0.5000 (multiplicity 1)
Os 0.0000 0.5000 0.0000 (multiplicity 2)
F 0.5000 0.5000 0.5000 (multiplicity 1)